# 1
# PBE-GGA Hg2PbAu2, relaxed
data_Hg2PbAu2
_chemical_formula_sum 'Hg4 Pb2 Au4'
_symmetry_space_group_name_H-M 'P 4/m b m'
_symmetry_Int_Tables_number 127
_symmetry_space_group_name_Hall '-P 4 2ab'
_cell_length_a 8.2852
_cell_length_b 8.2852
_cell_length_c 3.3195
_cell_angle_alpha 90.00
_cell_angle_beta 90.00
_cell_angle_gamma 90.00
loop_
_atom_site_label
_atom_site_type_symbol
_atom_site_fract_x
_atom_site_fract_y
_atom_site_fract_z
Hg1 Hg 0.1731 0.3269 0.0000
Pb1 Pb 0.0000 0.0000 0.5000
Au1 Au 0.1244 0.6244 0.5000
# Total magnetization, μB per formula unit: 0.0
# Excess energy over the best structure of this formula in the dataset, eV/f.u.: 0.15

=====

# 2
# PBE-GGA Hg3PbAu, relaxed
data_Hg3PbAu
_chemical_formula_sum 'Hg6 Pb2 Au2'
_symmetry_space_group_name_H-M 'P 1 21/m 1'
_symmetry_Int_Tables_number 11
_cell_length_a 5.9043
_cell_length_b 6.2046
_cell_length_c 7.2813
_cell_angle_alpha 90.00
_cell_angle_beta 104.45
_cell_angle_gamma 90.00
loop_
_symmetry_equiv_pos_as_xyz
'x,y,z'
'-x,-y,-z'
'-x,y+1/2,-z'
'x,-y+1/2,z'
loop_
_atom_site_label
_atom_site_type_symbol
_atom_site_fract_x
_atom_site_fract_y
_atom_site_fract_z
Hg1 Hg 0.0018 0.2500 0.0505
Hg2 Hg 0.4378 0.5029 0.7938
Pb1 Pb 0.1330 0.7500 0.3936
Au1 Au 0.2711 0.2500 0.4382
# Total magnetization, μB per formula unit: 0.0
# Excess energy over the best structure of this formula in the dataset, eV/f.u.: 0.00

=====

| no. | formation energy from the elements (kJ per mole of atoms) | mass density (g/cm³) |
| --- | --- | --- |
| 1 | 4.48 | 14.61 |
| 2 | 1.00 | 12.93 |